Record 1
## BaBi2Te2 (PBEsol)

Data for an optimized crystal structure of BaBi2Te2.

Lattice parameters (Å, degrees): 4.2549 8.9941 8.9941 90.00 90.00 90.00
Fractional positions:
Te: 0.0000 0.3574 0.8574
Te: 0.0000 0.8574 0.6426
Te: 0.0000 0.6426 0.1426
Te: 0.0000 0.1426 0.3574
Bi: 0.5000 0.1926 0.6926
Bi: 0.5000 0.6926 0.8074
Bi: 0.5000 0.8074 0.3074
Bi: 0.5000 0.3074 0.1926
Ba: 0.0000 0.0000 0.0000
Ba: 0.0000 0.5000 0.5000

Output
For the total magnetization, the calculation gives 0.00 μB per formula unit. The space group is P4/mbm, No. 127. For the final energy, the calculation gives -4.08 eV/atom.

Record 2
## CdSn2Hg (PBEsol)

Data for an optimized crystal structure of CdSn2Hg.

Lattice parameters (Å, degrees): 6.0683 6.5122 6.5122 77.46 62.23 62.23
Fractional positions:
Cd: 0.5000 0.0000 0.0000
Cd: 0.2500 0.5000 0.5000
Hg: 0.0000 0.0000 0.0000
Hg: 0.7500 0.5000 0.5000
Sn: 0.6276 0.9974 0.4974
Sn: 0.1224 0.0026 0.5026
Sn: 0.3750 0.5026 0.9974
Sn: 0.8750 0.4974 0.0026

Output
Its formation enthalpy at 0 K is 0.08 eV/atom. For the total magnetization, the calculation gives 0.00 μB per formula unit. The space group is I-42d, No. 122. The value obtained for the offset from the most stable computed form is 0.0061 eV per atom.

Record 3
## TaCdCu2 (PBEsol)

Data for an optimized crystal structure of TaCdCu2.

Lattice parameters (Å, degrees): 4.3905 4.3905 4.3905 60.00 60.00 60.00
Fractional positions:
Cd: 0.5000 0.5000 0.5000
Cu: 0.0000 0.0000 0.0000
Cu: 0.7500 0.7500 0.7500
Ta: 0.2500 0.2500 0.2500

Output
Its formation enthalpy at 0 K is 0.41 eV/atom. For the total magnetization, the calculation gives 0.00 μB per formula unit. The space group is F-43m, No. 216.

Record 4
## NiHgOs3 (PBEsol)

Data for an optimized crystal structure of NiHgOs3.

Lattice parameters (Å, degrees): 4.8205 4.8205 4.8205 90.00 90.00 90.00
Site moments in Bohr magnetons follow the coordinates.
Fractional positions:
Ni: 0.5000 0.5000 0.5000  1.03
Os: 0.0000 0.5000 0.0000  1.38
Os: 0.0000 0.0000 0.5000  1.38
Os: 0.5000 0.0000 0.0000  1.38
Hg: 0.0000 0.0000 0.0000  0.04

Output
Its formation enthalpy at 0 K is 3.74 eV/atom. For the total magnetization, the calculation gives 5.32 μB per formula unit. The space group is Pm-3m, No. 221.

Record 5
## H12PbC2I6N2 (PBEsol)

Data for an optimized crystal structure of H12PbC2I6N2.

Lattice parameters (Å, degrees): 8.0324 7.7136 15.3222 92.81 88.51 102.51
Fractional positions:
Pb: 0.5648 0.4601 0.5068
Pb: 0.9737 0.9666 0.0044
H: 0.6026 0.9669 0.7465
H: 0.4143 0.9379 0.6816
H: 0.4138 0.8123 0.7781
H: 0.4474 0.2077 0.7738
H: 0.4519 0.0931 0.8647
H: 0.2707 0.0578 0.8056
H: 0.9316 0.4780 0.8725
H: 0.9257 0.2821 0.8160
H: 0.8168 0.4322 0.7804
H: 0.1969 0.4860 0.7887
H: 0.0783 0.6373 0.7465
H: 0.0720 0.4241 0.6919
H: 0.9692 0.7649 0.2754
H: 0.9903 0.6605 0.3679
H: 0.8258 0.5762 0.3007
H: 0.1982 0.5975 0.2609
H: 0.0287 0.5224 0.1842
H: 0.0412 0.3995 0.2797
H: 0.7361 0.0177 0.2721
H: 0.6280 0.9571 0.3657
H: 0.6073 0.1461 0.3174
H: 0.4835 0.7772 0.2431
H: 0.4735 0.9797 0.1912
H: 0.3548 0.9248 0.2903
C: 0.0799 0.4971 0.7556
C: 0.4623 0.9406 0.7484
C: 0.0630 0.5329 0.2536
C: 0.4730 0.9165 0.2540
I: 0.6265 0.1003 0.0105
I: 0.3894 0.7412 0.9935
I: 0.2292 0.3674 0.9802
I: 0.8196 0.5870 0.0218
I: 0.3258 0.0502 0.5033
I: 0.7436 0.8368 0.4982
I: 0.9127 0.3241 0.5007
I: 0.1669 0.6745 0.5081
I: 0.5645 0.4906 0.7130
I: 0.5257 0.4299 0.3007
I: 0.0235 0.0423 0.2064
I: 0.9598 0.9659 0.7967
N: 0.9302 0.4181 0.8096
N: 0.4050 0.0825 0.8015
N: 0.9562 0.6392 0.3024
N: 0.6193 0.0137 0.3056

Output
For the total magnetization, the calculation gives 0.00 μB per formula unit. The space group is P1, No. 1. For the final energy, the calculation gives -4.27 eV/atom.

Record 6
## LaFeP2 (PBEsol)

Data for an optimized crystal structure of LaFeP2.

Lattice parameters (Å, degrees): 3.7716 4.3969 4.3296 104.90 90.00 90.00
Site moments in Bohr magnetons follow the coordinates.
Fractional positions:
Fe: 0.5000 0.0000 0.5000  0.43
La: 0.5000 0.5000 0.0000  -0.01
P: 0.0000 0.1134 0.2730  0.01
P: 0.0000 0.8866 0.7270  0.01

Output
Its formation enthalpy at 0 K is -0.82 eV/atom. For the total magnetization, the calculation gives 0.46 μB per formula unit. The space group is P2/m, No. 10. The value obtained for the offset from the most stable computed form is 0.0000 eV per atom.

Record 7
## LaMnOs2 (PBEsol)

Data for an optimized crystal structure of LaMnOs2.

Lattice parameters (Å, degrees): 2.9110 4.3695 5.6419 90.00 104.95 90.00
Site moments in Bohr magnetons follow the coordinates.
Fractional positions:
La: 0.9300 0.0000 0.8600  0.01
Mn: 0.2988 0.5000 0.5977  2.59
Os: 0.1806 0.0000 0.3613  0.06
Os: 0.6145 0.5000 0.2289  -0.04

Output
Its formation enthalpy at 0 K is 0.48 eV/atom. For the total magnetization, the calculation gives 2.79 μB per formula unit. The space group is Amm2, No. 38. The value obtained for the offset from the most stable computed form is 0.0000 eV per atom.

Record 8
## MgAsIN2 (PBEsol)

Data for an optimized crystal structure of MgAsIN2.

Lattice parameters (Å, degrees): 3.8629 3.8629 6.1466 90.00 90.00 90.00
Fractional positions:
I: 0.0000 0.0000 0.5000
As: 0.0000 0.0000 0.0000
Mg: 0.5000 0.5000 0.5000
N: 0.0000 0.5000 0.0000
N: 0.5000 0.0000 0.0000

Output
For the total magnetization, the calculation gives 0.00 μB per formula unit. The space group is P4/mmm, No. 123. For the final energy, the calculation gives -4.15 eV/atom.

Record 9
## Nb2TcRu (PBEsol)

Data for an optimized crystal structure of Nb2TcRu.

Lattice parameters (Å, degrees): 4.4556 4.4556 4.4556 60.00 60.00 60.00
Fractional positions:
Ru: 0.0000 0.0000 0.0000
Nb: 0.7500 0.7500 0.7500
Nb: 0.2500 0.2500 0.2500
Tc: 0.5000 0.5000 0.5000

Output
Its formation enthalpy at 0 K is -0.22 eV/atom. For the total magnetization, the calculation gives 0.00 μB per formula unit. The space group is Fm-3m, No. 225.

Record 10
## Nd4Al2O9 (PBEsol)

Data for an optimized crystal structure of Nd4Al2O9.

Lattice parameters (Å, degrees): 7.7148 10.8391 11.3043 90.00 109.39 90.00
Fractional positions:
Nd: 0.6679 0.3761 0.0726
Nd: 0.4762 0.3988 0.7131
Nd: 0.5238 0.8988 0.7869
Nd: 0.8350 0.6223 0.9116
Nd: 0.0267 0.9153 0.8111
Nd: 0.4762 0.1012 0.2131
Nd: 0.3321 0.8761 0.4274
Nd: 0.9733 0.0847 0.1889
Nd: 0.5238 0.6012 0.2869
Nd: 0.1650 0.1223 0.5884
Nd: 0.0267 0.5847 0.3111
Nd: 0.6679 0.1239 0.5726
Nd: 0.8350 0.8777 0.4116
Nd: 0.3321 0.6239 0.9274
Nd: 0.1650 0.3777 0.0884
Nd: 0.9733 0.4153 0.6889
Al: 0.3475 0.1904 0.8811
Al: 0.2230 0.8072 0.1289
Al: 0.6525 0.8096 0.1189
Al: 0.7770 0.1928 0.8711
Al: 0.2230 0.6928 0.6289
Al: 0.3475 0.3096 0.3811
Al: 0.6525 0.6904 0.6189
Al: 0.7770 0.3072 0.3711
O: 0.4315 0.0093 0.6022
O: 0.9239 0.9956 0.6062
O: 0.3588 0.2722 0.5340
O: 0.2173 0.2195 0.2526
O: 0.4343 0.7438 0.6166
O: 0.0761 0.0044 0.3938
O: 0.7827 0.7195 0.2474
O: 0.6412 0.7722 0.9660
O: 0.7028 0.5385 0.6765
O: 0.9208 0.2657 0.5207
O: 0.5657 0.2562 0.3834
O: 0.7802 0.0370 0.8307
O: 0.5657 0.2438 0.8834
O: 0.4315 0.4907 0.1022
O: 0.2198 0.5370 0.6693
O: 0.6412 0.7278 0.4660
O: 0.4343 0.7562 0.1166
O: 0.2331 0.7214 0.2644
O: 0.7669 0.2214 0.2356
O: 0.0792 0.7657 0.9793
O: 0.7827 0.7805 0.7474
O: 0.3588 0.2278 0.0340
O: 0.0761 0.4956 0.8938
O: 0.5685 0.9907 0.3978
O: 0.2972 0.0385 0.8235
O: 0.0792 0.7343 0.4793
O: 0.5685 0.5093 0.8978
O: 0.2972 0.4615 0.3235
O: 0.2173 0.2805 0.7526
O: 0.2198 0.9630 0.1693
O: 0.9239 0.5044 0.1062
O: 0.9208 0.2343 0.0207
O: 0.7802 0.4630 0.3307
O: 0.2331 0.7786 0.7644
O: 0.7028 0.9615 0.1765
O: 0.7669 0.2786 0.7356

Output
For the total magnetization, the calculation gives 0.00 μB per formula unit. The space group is P2_1/c, No. 14. For the final energy, the calculation gives -8.38 eV/atom.

Record 11
## Ba3SrH (PBEsol)

Data for an optimized crystal structure of Ba3SrH.

Lattice parameters (Å, degrees): 5.9649 5.9649 5.9649 90.00 90.00 90.00
Fractional positions:
Sr: 0.5000 0.5000 0.5000
Ba: 0.0000 0.5000 0.0000
Ba: 0.0000 0.0000 0.5000
Ba: 0.5000 0.0000 0.0000
H: 0.0000 0.0000 0.0000

Output
For the total magnetization, the calculation gives 0.00 μB per formula unit. The space group is Pm-3m, No. 221. The value obtained for the offset from the most stable computed form is 0.0000 eV per atom.

Record 12
## Zr3BiH (PBEsol)

Data for an optimized crystal structure of Zr3BiH.

Lattice parameters (Å, degrees): 5.6175 5.6849 7.2969 102.11 101.71 117.84
Fractional positions:
H: 0.0528 0.7825 0.0000
H: 0.9472 0.2175 0.0000
Bi: 0.6669 0.1669 0.3337
Bi: 0.3331 0.8331 0.6663
Zr: 0.3046 0.2029 0.0000
Zr: 0.8911 0.3911 0.7822
Zr: 0.1089 0.6089 0.2178
Zr: 0.2525 0.2525 0.5051
Zr: 0.6954 0.7971 0.0000
Zr: 0.7475 0.7475 0.4949

Output
For the total magnetization, the calculation gives 0.00 μB per formula unit. The space group is C2/m, No. 12. The value obtained for the offset from the most stable computed form is 0.0023 eV per atom.

- Among the records above, which one has the highest total magnetization?
  NiHgOs3